Record 1
DFT (PBE-GGA) results for a relaxed ReTePS2 crystal.

Results
Energy relative to the lowest polymorph listed for this composition (eV per atom): 0.000

The structure in POSCAR format:
```
ReTePS2
1.0
4.529 0.000 0.000
0.000 4.529 0.000
0.000 0.000 5.003
Re Te P S
1 1 1 2
Cartesian
0.000 0.000 0.000
2.265 2.265 2.501
0.000 0.000 2.501
0.000 2.265 0.000
2.265 0.000 0.000
```


Record 2
DFT (PBE-GGA) results for a relaxed ReTeP2S crystal.

Results
Energy relative to the lowest polymorph listed for this composition (eV per atom): 1.499

The structure in POSCAR format:
```
ReTeP2S
1.0
5.060 0.000 0.000
0.000 5.060 0.000
0.000 0.000 4.871
Re Te P S
1 1 2 1
Cartesian
0.000 0.000 0.000
2.530 2.530 2.435
0.000 2.530 2.435
2.530 0.000 2.435
2.530 2.530 0.000
```


Record 3
DFT (PBE-GGA) results for a relaxed ReTePS2 crystal.

Results
Energy relative to the lowest polymorph listed for this composition (eV per atom): 1.353

The structure in POSCAR format:
```
ReTePS2
1.0
4.915 0.000 0.000
0.000 4.915 0.000
0.000 0.000 5.253
Re Te P S
1 1 1 2
Cartesian
0.000 0.000 0.000
2.457 2.457 2.626
2.457 2.457 0.000
0.000 2.457 2.626
2.457 0.000 2.626
```


Record 4
DFT (PBE-GGA) results for a relaxed Th4RePS2 crystal.

The structure in POSCAR format:
```
Th4RePS2
1.0
7.162 0.000 0.000
0.000 4.099 0.000
-2.344 0.000 6.839
Th Re P S
4 1 1 2
Cartesian
1.138 0.000 1.638
-0.040 2.050 5.150
4.857 2.050 1.689
3.679 0.000 5.202
0.000 2.050 0.000
-1.172 0.000 3.420
3.581 0.000 0.000
2.409 2.050 3.420
```


| no. | formation energy without anion corrections (eV per atom) | DOS at the Fermi energy (states/eV per cell) |
| --- | --- | --- |
| 1 | 0.414 | 3.481 |
| 2 | 1.977 | 3.909 |
| 3 | 1.767 | 2.906 |
| 4 | -1.211 | 5.805 |